Version 1
# BaNiP2O

A relaxed BaNiP2O crystal (GGA+U, Alexandria).

```
data_BaNiP2O
_cell_length_a 4.1620
_cell_length_b 4.1620
_cell_length_c 5.8723
_cell_angle_alpha 90.00
_cell_angle_beta 90.00
_cell_angle_gamma 90.00
_symmetry_space_group_name_H-M 'P 1'
_symmetry_Int_Tables_number 1
loop_
_symmetry_equiv_pos_as_xyz
'x,y,z'
loop_
_atom_site_label
_atom_site_type_symbol
_atom_site_fract_x
_atom_site_fract_y
_atom_site_fract_z
P1 P 0.0000 0.5000 0.0000
P2 P 0.5000 0.0000 0.0000
Ba1 Ba 0.5000 0.5000 0.5000
O1 O 0.0000 0.0000 0.5000
Ni1 Ni 0.0000 0.0000 0.0000
```

Values from the calculation:
Total moment: 2.0 μB per cell
Symmetry: P4/mmm

Version 2
# BaNiP2O

A relaxed BaNiP2O crystal (GGA+U, Alexandria).

```
data_BaNiP2O
_cell_length_a 5.8612
_cell_length_b 5.8612
_cell_length_c 4.3782
_cell_angle_alpha 90.00
_cell_angle_beta 90.00
_cell_angle_gamma 90.00
_symmetry_space_group_name_H-M 'P 1'
_symmetry_Int_Tables_number 1
loop_
_symmetry_equiv_pos_as_xyz
'x,y,z'
loop_
_atom_site_label
_atom_site_type_symbol
_atom_site_fract_x
_atom_site_fract_y
_atom_site_fract_z
P1 P 0.5000 0.0000 0.0000
P2 P 0.0000 0.5000 0.0000
Ni1 Ni 0.5000 0.5000 0.5000
Ba1 Ba 0.0000 0.0000 0.0000
O1 O 0.0000 0.0000 0.5000
```

Values from the calculation:
Total moment: 3.9 μB per cell
Symmetry: P4/mmm

So which one is most stable? That would be version 1, about 1.640 eV/atom below the next structure.

Version 1
# BaPr2NiO5

A relaxed BaPr2NiO5 crystal (GGA+U, Alexandria).

```
data_BaPr2NiO5
_cell_length_a 6.8299
_cell_length_b 6.8299
_cell_length_c 7.6146
_cell_angle_alpha 116.65
_cell_angle_beta 116.65
_cell_angle_gamma 90.00
_symmetry_space_group_name_H-M 'P 1'
_symmetry_Int_Tables_number 1
loop_
_symmetry_equiv_pos_as_xyz
'x,y,z'
loop_
_atom_site_label
_atom_site_type_symbol
_atom_site_fract_x
_atom_site_fract_y
_atom_site_fract_z
Pr1 Pr 0.8263 0.6737 0.0000
Pr2 Pr 0.1737 0.3263 0.0000
Pr3 Pr 0.3263 0.8263 0.0000
Pr4 Pr 0.6737 0.1737 0.0000
O1 O 0.5000 0.5000 0.0000
O2 O 0.7703 0.9901 0.2604
O3 O 0.5099 0.7297 0.7396
O4 O 0.2297 0.0099 0.7396
O5 O 0.7297 0.2297 0.7396
O6 O 0.9901 0.4901 0.2604
O7 O 0.4901 0.2703 0.2604
O8 O 0.0000 0.0000 0.0000
O9 O 0.0099 0.5099 0.7396
O10 O 0.2703 0.7703 0.2604
Ba1 Ba 0.7500 0.7500 0.5000
Ba2 Ba 0.2500 0.2500 0.5000
Ni1 Ni 0.7500 0.2500 0.5000
Ni2 Ni 0.2500 0.7500 0.5000
```

Values from the calculation:
Total moment: 3.9 μB per cell
Symmetry: I4/mcm

Version 2
# BaPr2NiO5

A relaxed BaPr2NiO5 crystal (GGA+U, Alexandria).

```
data_BaPr2NiO5
_cell_length_a 3.8785
_cell_length_b 6.0242
_cell_length_c 6.9399
_cell_angle_alpha 115.72
_cell_angle_beta 106.23
_cell_angle_gamma 90.00
_symmetry_space_group_name_H-M 'P 1'
_symmetry_Int_Tables_number 1
loop_
_symmetry_equiv_pos_as_xyz
'x,y,z'
loop_
_atom_site_label
_atom_site_type_symbol
_atom_site_fract_x
_atom_site_fract_y
_atom_site_fract_z
O1 O 0.3559 0.1142 0.7118
O2 O 0.6441 0.4024 0.2882
O3 O 0.3559 0.5976 0.7118
O4 O 0.6441 0.8858 0.2882
O5 O 0.0000 0.5000 0.0000
Ba1 Ba 0.0000 0.0000 0.0000
Pr1 Pr 0.2026 0.7026 0.4052
Pr2 Pr 0.7974 0.2974 0.5948
Ni1 Ni 0.5000 0.5000 0.0000
```

Values from the calculation:
Total moment: 2.0 μB per cell
Symmetry: Immm

So which one is most stable? That would be version 2, about 0.023 eV/atom below the next structure.